Here is La2YTiO after structural relaxation from Alexandria via LeMat-Bulk. Energies are from GGA-PBE.

Output
energy	-6.865	eV/atom
total magnetization	0.00	μB per cell
density	6.006	g cm⁻³
polymorph energy (0 for the lowest one)	0	meV per atom
uncorrected formation energy	-1.0311	eV/atom

Unit cell a=5.4132 b=5.4132 c=4.0629 alpha=90.00 beta=90.00 gamma=90.00
Closest atoms and distances in Å follow each position.
Space group P4/mmm (No. 123)
One atom of each set of equivalent atoms:
La: 0.0000 0.5000 0.0000  2 O 2.71
Y: 0.0000 0.0000 0.5000  8 La 3.38
Ti: 0.5000 0.5000 0.5000  2 O 2.03
O: 0.5000 0.5000 0.0000  2 Ti 2.03

---

Here is ErAlGe after structural relaxation from Alexandria via LeMat-Bulk. Energies are from GGA-PBE.

Output
energy	-4.487	eV/atom
calculated formation energy	-0.179	eV per atom
total magnetization	0.00	μB per cell
density	6.544	g cm⁻³

Unit cell a=4.0495 b=4.0495 c=8.2598 alpha=90.00 beta=90.00 gamma=90.00
Closest atoms and distances in Å follow each position.
Space group I4mm (No. 107)
One atom of each set of equivalent atoms:
Er: 0.0000 0.0000 0.0000  5 Ge 2.86-3.13, 5 Al 2.90-3.12
Al: 0.0000 0.0000 0.3515  1 Ge 2.49
Ge: 0.0000 0.0000 0.6535  1 Al 2.49